A plane-wave DFT calculation with PBE was carried out for a geometry-optimized Na2Zr2NpS6 structure.

Results
formation energy (no corrections) = -1462 meV/atom
M_tot = 9.72 μB/cell
calculated density = 4.27 g cm⁻³

Geometry as CIF:
```
data_Na2Zr2NpS6
_space_group_name_H-M_alt 'C 1 2/m 1'
_space_group_IT_number 12
_space_group_name_Hall '-C 2y'
_cell_length_a 6.549
_cell_length_b 11.426
_cell_length_c 7.169
_cell_angle_alpha 90.00
_cell_angle_beta 107.65
_cell_angle_gamma 90.00
loop_
_atom_site_label
_atom_site_fract_x
_atom_site_fract_y
_atom_site_fract_z
Na1 0.000 0.165 0.000
Zr1 0.000 0.334 0.500
Np1 0.000 0.000 0.500
S1 0.226 0.500 0.720
S2 0.244 0.174 0.719
```